# 1
Here is a relaxed Sr2MgH2Pb2 crystal from the Alexandria database. Energies are from PBE.

The structure in POSCAR format:
```
Sr2MgH2Pb2
1.0
-2.161 2.161 8.871
2.161 -2.161 8.871
2.161 2.161 -8.871
Sr Mg H Pb
2 1 2 2
Direct
0.102 0.102 0.000
0.898 0.898 0.000
0.500 0.500 0.000
0.000 0.500 0.500
0.500 0.000 0.500
0.292 0.292 0.000
0.708 0.708 0.000
```

Space-group type: No. 139
Mass density: 6.17 g/cm³

=====

# 2
Here is a relaxed YCo2Ag crystal from the Alexandria database. Energies are from PBE.

The structure in POSCAR format:
```
YCo2Ag
1.0
-2.063 2.063 3.890
2.063 -2.063 3.890
2.063 2.063 -3.890
Y Co Ag
1 2 1
Direct
0.000 0.000 0.000
0.250 0.750 0.500
0.750 0.250 0.500
0.500 0.500 0.000
```

Excess energy over the best structure of this formula in the dataset: 0.1206 eV per atom
Space-group type: No. 139
Mass density: 7.89 g/cm³
Formation energy from the elements: 0.232 eV per atom

=====

# 3
Here is a relaxed TaIrRh6 crystal from the Alexandria database. Energies are from PBE.

The structure in POSCAR format:
```
TaIrRh6
1.0
5.485 0.000 0.000
0.000 5.485 0.000
0.000 0.000 3.880
Ta Ir Rh
1 1 6
Direct
0.000 0.000 0.000
0.500 0.500 0.000
0.000 0.500 0.000
0.252 0.252 0.500
0.252 0.748 0.500
0.500 0.000 0.000
0.748 0.252 0.500
0.748 0.748 0.500
```

Excess energy over the best structure of this formula in the dataset: 0.0000 eV per atom
Space-group type: No. 123
Mass density: 14.09 g/cm³
Formation energy from the elements: -0.245 eV per atom

=====

# 4
Here is a relaxed La4PmPr2Sm crystal from the Alexandria database. Energies are from PBE.

The structure in POSCAR format:
```
La4PmPr2Sm
1.0
5.253 0.000 0.000
0.000 5.278 0.000
-0.019 0.000 10.393
La Pm Pr Sm
4 1 2 1
Direct
0.000 0.000 0.250
0.000 0.000 0.750
0.499 0.500 0.249
0.501 0.500 0.751
0.500 0.000 0.500
0.000 0.500 0.500
0.500 0.000 0.000
0.000 0.500 0.000
```

Space-group type: No. 10
Mass density: 6.53 g/cm³
Formation energy from the elements: 0.012 eV per atom

=====

# 5
Here is a relaxed KSiSn2 crystal from the Alexandria database. Energies are from PBE.

The structure in POSCAR format:
```
KSiSn2
1.0
2.151 1.242 8.124
-2.151 1.242 8.124
0.000 -2.484 8.124
K Si Sn
1 1 2
Direct
0.000 0.000 0.000
0.500 0.500 0.500
0.219 0.219 0.219
0.781 0.781 0.781
```

Formation energy (no corrections): 123.8 meV/atom
Space-group type: No. 166
Mass density: 3.88 g/cm³

=====

# 6
Here is a relaxed V6NiRh5 crystal from the Alexandria database. Energies are from PBE.

The structure in POSCAR format:
```
V6NiRh5
1.0
-1.911 3.682 5.749
1.911 -3.682 5.749
1.911 3.682 -5.749
V Ni Rh
6 1 5
Direct
0.084 0.335 0.749
0.248 0.000 0.248
0.414 0.665 0.749
0.586 0.335 0.251
0.752 0.000 0.752
0.916 0.665 0.251
0.000 0.500 0.500
0.160 0.160 0.000
0.331 0.831 0.500
0.500 0.500 0.000
0.669 0.169 0.500
0.840 0.840 0.000
```

Space-group type: No. 71
Mass density: 9.02 g/cm³
Formation energy from the elements: -0.342 eV per atom

=====

The evaluated DFT total energy for the records listed, in turn: -2.959; -5.649; -8.347; -4.830; -3.508; -8.446 eV/atom.